(1)
SrPmDy | PBE | relaxed

Its crystal system is cubic.

It has space group F-43m (No. 216), with a = 8.178 Å, b = 8.178 Å, c = 8.178 Å, α = 90.00°, β = 90.00° and γ = 90.00°. The asymmetric unit holds Sr at (0.000, 0.000, 0.000), Pm at (0.250, 0.250, 0.750) and Dy at (0.000, 0.000, 0.500).


(2)
PmDy2Tc | PBE | relaxed

Its crystal system is orthorhombic. For the formation energy, the calculation gives -0.29 eV per formula unit.

It has space group Cmcm (No. 63), with a = 3.931 Å, b = 12.095 Å, c = 9.209 Å, α = 90.00°, β = 90.00° and γ = 90.00°. The asymmetric unit holds Pm at (0.000, 0.072, 0.250), Dy at (0.000, 0.353, 0.068) and Tc at (0.000, 0.261, 0.750).


(3)
PmDyTc | PBE | relaxed

Its crystal system is cubic. For the formation energy, the calculation gives 2.75 eV per formula unit.

It has space group F-43m (No. 216), with a = 6.780 Å, b = 6.780 Å, c = 6.780 Å, α = 90.00°, β = 90.00° and γ = 90.00°. The asymmetric unit holds Pm at (0.000, 0.000, 0.000), Dy at (0.250, 0.250, 0.250) and Tc at (0.000, 0.000, 0.500).


(4)
PmDyTe | PBE | relaxed

Its crystal system is cubic. For the offset from the most stable computed form, the calculation gives 0 meV/atom.

It has space group F-43m (No. 216), with a = 7.235 Å, b = 7.235 Å, c = 7.235 Å, α = 90.00°, β = 90.00° and γ = 90.00°. The asymmetric unit holds Pm at (0.000, 0.000, 0.000), Dy at (0.000, 0.000, 0.500) and Te at (0.250, 0.250, 0.750).


(5)
PmDyTh | PBE | relaxed

Its crystal system is cubic. For the formation energy, the calculation gives 2.36 eV per formula unit. For the offset from the most stable computed form, the calculation gives 0 meV/atom.

It has space group F-43m (No. 216), with a = 7.696 Å, b = 7.696 Å, c = 7.696 Å, α = 90.00°, β = 90.00° and γ = 90.00°. The asymmetric unit holds Pm at (0.000, 0.000, 0.000), Dy at (0.250, 0.250, 0.250) and Th at (0.000, 0.000, 0.500).


(6)
PmDyTl | PBE | relaxed

Its crystal system is cubic. For the offset from the most stable computed form, the calculation gives 0 meV/atom.

It has space group F-43m (No. 216), with a = 7.387 Å, b = 7.387 Å, c = 7.387 Å, α = 90.00°, β = 90.00° and γ = 90.00°. The asymmetric unit holds Pm at (0.000, 0.000, 0.000), Dy at (0.000, 0.000, 0.500) and Tl at (0.250, 0.250, 0.750).


(7)
PmDy2Tl3 | PBE | relaxed

Its crystal system is tetragonal.

It has space group P4/mmm (No. 123), with a = 3.771 Å, b = 3.771 Å, c = 11.649 Å, α = 90.00°, β = 90.00° and γ = 90.00°. The asymmetric unit holds Pm at (0.000, 0.000, 0.000), Dy at (0.000, 0.000, 0.337), Tl at (0.500, 0.500, 0.175) and Tl at (0.500, 0.500, 0.500).


(8)
PmDyW | PBE | relaxed

Its crystal system is cubic. For the formation energy, the calculation gives 4.29 eV per formula unit.

It has space group F-43m (No. 216), with a = 6.946 Å, b = 6.946 Å, c = 6.946 Å, α = 90.00°, β = 90.00° and γ = 90.00°. The asymmetric unit holds Pm at (0.000, 0.000, 0.000), Dy at (0.250, 0.250, 0.250) and W at (0.000, 0.000, 0.500).


(9)
PmDy3Zn2 | PBE | relaxed

Its crystal system is tetragonal. For the formation energy, the calculation gives -1.38 eV per formula unit.

It has space group P4/mmm (No. 123), with a = 3.566 Å, b = 3.566 Å, c = 12.260 Å, α = 90.00°, β = 90.00° and γ = 90.00°. The asymmetric unit holds Pm at (0.000, 0.000, 0.000), Dy at (0.500, 0.500, 0.212), Dy at (0.500, 0.500, 0.500) and Zn at (0.000, 0.000, 0.357).


(10)
PmDyZr | PBE | relaxed

Its crystal system is cubic. For the formation energy, the calculation gives 2.35 eV per formula unit. For the offset from the most stable computed form, the calculation gives 0 meV/atom.

It has space group F-43m (No. 216), with a = 7.426 Å, b = 7.426 Å, c = 7.426 Å, α = 90.00°, β = 90.00° and γ = 90.00°. The asymmetric unit holds Pm at (0.000, 0.000, 0.000), Dy at (0.000, 0.000, 0.500) and Zr at (0.250, 0.250, 0.750).


(11)
PrDyPt | PBE | relaxed

Its crystal system is cubic. For the formation energy, the calculation gives -0.42 eV per formula unit.

It has space group F-43m (No. 216), with a = 6.819 Å, b = 6.819 Å, c = 6.819 Å, α = 90.00°, β = 90.00° and γ = 90.00°. The asymmetric unit holds Pr at (0.000, 0.000, 0.000), Dy at (0.250, 0.250, 0.250) and Pt at (0.000, 0.000, 0.500).


(12)
PrDySn2Pt4 | PBE | relaxed

Its crystal system is hexagonal.

It has space group P-6m2 (No. 187), with a = 4.5966 Å, b = 4.5966 Å, c = 9.2697 Å, α = 90.00°, β = 90.00° and γ = 120.00°. The asymmetric unit holds Pr at (0.0000, 0.0000, 0.0000), Dy at (0.3333, 0.6667, 0.5000), Sn at (0.6667, 0.3333, 0.2547), Pt at (0.0000, 0.0000, 0.3443) and Pt at (0.3333, 0.6667, 0.1691).


Number 1: raw total energy -34.2 eV per cell. Number 2: raw total energy -98.4 eV per cell. Number 3: raw total energy -67.8 eV per cell. Number 4: raw total energy -56.7 eV per cell. Number 5: raw total energy -57.6 eV per cell. Number 6: raw total energy -47.3 eV per cell. Number 7: raw total energy -23.2 eV per cell. Number 8: raw total energy -72.1 eV per cell. Number 9: raw total energy -22.5 eV per cell. Number 10: raw total energy -62.2 eV per cell. Number 11: raw total energy -63.4 eV per cell. Number 12: raw total energy -49.3 eV per cell.